Below is CrGa2Au after structural relaxation, with properties calculated at the PBE level.

extended XYZ file:
```
4
Lattice="0.0000 3.1110 3.1110 3.1110 0.0000 3.1110 3.1110 3.1110 0.0000" Properties=species:S:1:pos:R:3 pbc="T T T"
Cr 0.0000 0.0000 0.0000
Au 3.1110 3.1110 3.1110
Ga 1.5555 1.5555 1.5555
Ga 4.6664 4.6664 4.6664
```

Summary:
Total DFT energy (no corrections), eV per atom: -4.514
Formation energy from the elements, eV/atom: 0.224
Total magnetization, μB per cell: 0.00
Relative energy among the computed polymorphs, meV per atom: 260